# 1
Compound: Ba3MnRe
Source: Alexandria
Functional: GGA-PBEsol
Structure: optimized geometry

The size of the total moment is 4.58 μB/cell. The density of states at the Fermi level is 1.177 states/eV per atom. The calculation puts the formation energy at 1.158 eV/atom.

The structure in CIF format:
```
data_Ba3MnRe
_chemical_formula_sum 'Ba3 Mn1 Re1'
_cell_length_a 5.8122
_cell_length_b 5.8122
_cell_length_c 5.8122
_cell_angle_alpha 90.00
_cell_angle_beta 90.00
_cell_angle_gamma 90.00
_symmetry_space_group_name_H-M 'P m -3 m'
_symmetry_Int_Tables_number 221
_symmetry_space_group_name_Hall '-P 4 2 3'
loop_
_atom_site_label
_atom_site_type_symbol
_atom_site_fract_x
_atom_site_fract_y
_atom_site_fract_z
Ba1 Ba 0.0000 0.0000 0.5000
Mn1 Mn 0.5000 0.5000 0.5000
Re1 Re 0.0000 0.0000 0.0000
```



# 2
Compound: Ba4MnRh
Source: Alexandria
Functional: GGA-PBEsol
Structure: optimized geometry

The size of the total moment is 16.77 μB/cell. The density of states at the Fermi level is 1.409 states/eV per atom. The calculation puts the formation energy at 1.143 eV/atom.

The structure in CIF format:
```
data_Ba4MnRh
_chemical_formula_sum 'Ba16 Mn4 Rh4'
_cell_length_a 9.4553
_cell_length_b 9.4553
_cell_length_c 9.4553
_cell_angle_alpha 90.00
_cell_angle_beta 90.00
_cell_angle_gamma 90.00
_symmetry_space_group_name_H-M 'F -4 3 m'
_symmetry_Int_Tables_number 216
_symmetry_space_group_name_Hall 'F -4 2 3'
loop_
_atom_site_label
_atom_site_type_symbol
_atom_site_fract_x
_atom_site_fract_y
_atom_site_fract_z
Ba1 Ba 0.1243 0.1243 0.1243
Mn1 Mn 0.0000 0.0000 0.5000
Rh1 Rh 0.2500 0.2500 0.7500
```



> Look up the size of the total moment of the second one.

16.77 μB/cell



> Which of these has the lowest size of the total moment?

Ba3MnRe